A plane-wave DFT calculation with PBE-GGA was carried out for an optimized crystal structure of RbGaSn.

Properties
E_form = -0.128 eV/atom
total magnetic moment = 0.00 μB/atom
crystal system = triclinic

Unit cell a=7.9498 b=4.4821 c=6.7320 alpha=89.80 beta=78.12 gamma=73.78
Sites, in units of the cell vectors:
Rb 0.8038 0.0985 0.8093
Sn 0.7611 0.6185 0.2996
Rb 0.1962 0.9015 0.1907
Ga 0.5457 0.2256 0.3722
Ga 0.4543 0.7744 0.6278
Sn 0.2389 0.3815 0.7004